Computed, not measured: a relaxed structure of Zr2NpOs at the PBE-GGA level of DFT.

Summary:
E_form: -28 meV/atom
Space-group type: P4/mmm
Offset from the most stable computed form: 0.000 eV/atom
Total energy: -10.344 eV per atom

Cell lengths 3.2315, 3.2315, 7.8172 Å; angles 90.00, 90.00, 90.00 degrees
Last column: nearest neighbours and their distance in Å.
Element x y z (fractional)
Zr 0.0000 0.0000 0.2141  4 Os 2.83
Zr 0.0000 0.0000 0.7859  4 Os 2.83
Np 0.5000 0.5000 0.5000  8 Zr 3.20, 4 Np 3.23
Os 0.5000 0.5000 0.0000  8 Zr 2.83

=====

Computed, not measured: a relaxed structure of ZrNpOs2 at the PBE-GGA level of DFT.

Summary:
E_form: -97 meV/atom
Space-group type: Fm-3m
Offset from the most stable computed form: 0.033 eV/atom
Total energy: -11.084 eV per atom

Cell lengths 4.7192, 4.7192, 4.7192 Å; angles 60.00, 60.00, 60.00 degrees
Last column: nearest neighbours and their distance in Å.
Element x y z (fractional)
Zr 0.0000 0.0000 0.0000  8 Os 2.89
Np 0.5000 0.5000 0.5000  8 Os 2.89
Os 0.2500 0.2500 0.2500  4 Zr 2.89, 4 Np 2.89
Os 0.7500 0.7500 0.7500  4 Zr 2.89, 4 Np 2.89

=====

Computed, not measured: a relaxed structure of ZrNpOs2 at the PBE-GGA level of DFT.

Summary:
E_form: -130 meV/atom
Space-group type: P4/mmm
Offset from the most stable computed form: 0.000 eV/atom
Total energy: -11.117 eV per atom

Cell lengths 3.2216, 3.2216, 7.1028 Å; angles 90.00, 90.00, 90.00 degrees
Last column: nearest neighbours and their distance in Å.
Element x y z (fractional)
Zr 0.0000 0.0000 0.0000  8 Os 2.84
Np 0.0000 0.0000 0.5000  8 Os 2.94, 4 Np 3.22
Os 0.5000 0.5000 0.2389  4 Zr 2.84, 4 Np 2.94
Os 0.5000 0.5000 0.7611  4 Zr 2.84, 4 Np 2.94

=====

Computed, not measured: a relaxed structure of Zr2NpOs at the PBE-GGA level of DFT.

Summary:
E_form: 148 meV/atom
Space-group type: P4/mmm
Offset from the most stable computed form: 0.176 eV/atom
Total energy: -10.169 eV per atom

Cell lengths 4.9344, 4.9344, 3.2254 Å; angles 90.00, 90.00, 90.00 degrees
Last column: nearest neighbours and their distance in Å.
Element x y z (fractional)
Zr 0.0000 0.5000 0.0000  4 Os 2.95, 4 Np 2.95, 2 Zr 3.23
Zr 0.5000 0.0000 0.0000  4 Os 2.95, 4 Np 2.95, 2 Zr 3.23
Np 0.0000 0.0000 0.5000  8 Zr 2.95, 2 Np 3.23
Os 0.5000 0.5000 0.5000  8 Zr 2.95, 2 Os 3.23

=====

Computed, not measured: a relaxed structure of ZrNpOs4 at the PBE-GGA level of DFT.

Summary:
E_form: -121 meV/atom
Space-group type: F-43m
Total energy: -11.189 eV per atom

Cell lengths 5.2965, 5.2965, 5.2965 Å; angles 60.00, 60.00, 60.00 degrees
Last column: nearest neighbours and their distance in Å.
Element x y z (fractional)
Zr 0.0000 0.0000 0.0000  12 Os 3.10, 4 Np 3.24
Np 0.2500 0.2500 0.2500  12 Os 3.11, 4 Zr 3.24
Os 0.1243 0.6252 0.6252  6 Os 2.64-2.65
Os 0.6252 0.1243 0.6252  6 Os 2.64-2.65
Os 0.6252 0.6252 0.1243  6 Os 2.64-2.65
Os 0.6252 0.6252 0.6252  6 Os 2.64-2.65

=====

Computed, not measured: a relaxed structure of ZrNpOs at the PBE-GGA level of DFT.

Summary:
E_form: 1172 meV/atom
Space-group type: Cmmm
Total energy: -9.734 eV per atom

Cell lengths 6.9090, 6.9090, 3.0527 Å; angles 90.00, 90.00, 98.29 degrees
Last column: nearest neighbours and their distance in Å.
Element x y z (fractional)
Zr 0.2285 0.7715 0.0000  3 Np 2.83-2.84, 2 Zr 3.05
Zr 0.7715 0.2285 0.0000  3 Np 2.83-2.84, 2 Zr 3.05
Np 0.0000 0.0000 0.5000  2 Os 2.56, 4 Zr 2.83
Np 0.5000 0.5000 0.0000  4 Os 2.49
Os 0.2828 0.2828 0.5000  3 Np 2.49-2.56
Os 0.7172 0.7172 0.5000  3 Np 2.49-2.56

=====

Computed, not measured: a relaxed structure of NpP5 at the PBE-GGA level of DFT.

Summary:
E_form: 11 meV/atom
Space-group type: Cmmm
Total energy: -6.654 eV per atom

Cell lengths 7.8556, 7.8556, 3.6747 Å; angles 90.00, 90.00, 152.91 degrees
Last column: nearest neighbours and their distance in Å.
Element x y z (fractional)
Np 0.0000 0.0000 0.0000  12 P 2.60-2.91
P 0.1452 0.8548 0.5000  6 P 2.60-2.88, 2 Np 2.88
P 0.3523 0.6477 0.0000  6 P 2.60-2.91, 2 Np 2.91
P 0.5000 0.5000 0.5000  4 Np 2.60, 8 P 2.88-2.91
P 0.6477 0.3523 0.0000  6 P 2.60-2.91, 2 Np 2.91
P 0.8548 0.1452 0.5000  6 P 2.60-2.88, 2 Np 2.88

=====

Computed, not measured: a relaxed structure of Np3P4 at the PBE-GGA level of DFT.

Summary:
E_form: -804 meV/atom
Space-group type: I-43d
Total energy: -9.441 eV per atom

Cell lengths 7.0657, 7.0657, 7.0657 Å; angles 109.47, 109.47, 109.47 degrees
Last column: nearest neighbours and their distance in Å.
Element x y z (fractional)
Np 0.1250 0.8750 0.2500  8 P 2.80-2.85
Np 0.2500 0.1250 0.8750  8 P 2.80-2.85
Np 0.3750 0.6250 0.7500  8 P 2.80-2.85
Np 0.6250 0.7500 0.3750  8 P 2.80-2.85
Np 0.7500 0.3750 0.6250  8 P 2.80-2.85
Np 0.8750 0.2500 0.1250  8 P 2.80-2.85
P 0.0000 0.1602 0.5000  6 Np 2.80-2.85, 3 P 3.06
P 0.0000 0.6602 0.5000  6 Np 2.80-2.85, 3 P 3.06
P 0.1602 0.5000 0.0000  6 Np 2.80-2.85, 3 P 3.06
P 0.3398 0.3398 0.3398  6 Np 2.80-2.85, 3 P 3.06
P 0.5000 0.0000 0.1602  6 Np 2.80-2.85, 3 P 3.06
P 0.5000 0.0000 0.6602  6 Np 2.80-2.85, 3 P 3.06
P 0.6602 0.5000 0.0000  6 Np 2.80-2.85, 3 P 3.06
P 0.8398 0.8398 0.8398  6 Np 2.80-2.85, 3 P 3.06

=====

Computed, not measured: a relaxed structure of Np3P at the PBE-GGA level of DFT.

Summary:
E_form: -191 meV/atom
Space-group type: I4/mmm
Offset from the most stable computed form: 0.018 eV/atom
Total energy: -11.249 eV per atom

Cell lengths 5.0211, 5.0211, 5.0211 Å; angles 130.75, 130.75, 72.21 degrees
Last column: nearest neighbours and their distance in Å.
Element x y z (fractional)
Np 0.0000 0.0000 0.0000  8 Np 2.91, 4 P 2.96
Np 0.2500 0.7500 0.5000  8 Np 2.91-2.96, 4 P 2.91
Np 0.7500 0.2500 0.5000  8 Np 2.91-2.96, 4 P 2.91
P 0.5000 0.5000 0.0000  12 Np 2.91-2.96

=====

Computed, not measured: a relaxed structure of Np2P3 at the PBE-GGA level of DFT.

Summary:
E_form: -530 meV/atom
Space-group type: Ibam
Offset from the most stable computed form: 0.000 eV/atom
Total energy: -8.953 eV per atom

Cell lengths 7.0914, 7.0914, 7.0914 Å; angles 117.76, 79.74, 135.42 degrees
Last column: nearest neighbours and their distance in Å.
Element x y z (fractional)
Np 0.1187 0.2176 0.3363  7 P 2.73-2.86
Np 0.3813 0.7176 0.0989  7 P 2.73-2.86
Np 0.6187 0.2824 0.9011  7 P 2.73-2.86
Np 0.8813 0.7824 0.6637  7 P 2.73-2.86
P 0.1402 0.8462 0.9863  5 Np 2.73-2.86
P 0.2500 0.7500 0.5000  2 P 2.69, 4 Np 2.79
P 0.3598 0.3462 0.7060  5 Np 2.73-2.86
P 0.6402 0.6538 0.2940  5 Np 2.73-2.86
P 0.7500 0.2500 0.5000  2 P 2.69, 4 Np 2.79
P 0.8598 0.1538 0.0137  5 Np 2.73-2.86

=====

Computed, not measured: a relaxed structure of Np2P3 at the PBE-GGA level of DFT.

Summary:
E_form: -414 meV/atom
Space-group type: R-3m
Offset from the most stable computed form: 0.116 eV/atom
Total energy: -8.837 eV per atom

Cell lengths 7.9458, 7.9458, 7.9458 Å; angles 41.36, 41.36, 41.36 degrees
Last column: nearest neighbours and their distance in Å.
Element x y z (fractional)
Np 0.1154 0.1154 0.1154  9 P 2.82-2.85
Np 0.3457 0.3457 0.3457  6 P 2.71-2.91
Np 0.6543 0.6543 0.6543  6 P 2.71-2.91
Np 0.8846 0.8846 0.8846  9 P 2.82-2.85
P 0.0613 0.6259 0.6259  2 P 2.44, 1 Np 2.71
P 0.3741 0.3741 0.9387  2 P 2.44, 1 Np 2.71
P 0.3741 0.9387 0.3741  2 P 2.44, 1 Np 2.71
P 0.6259 0.0613 0.6259  2 P 2.44, 1 Np 2.71
P 0.6259 0.6259 0.0613  2 P 2.44, 1 Np 2.71
P 0.9387 0.3741 0.3741  2 P 2.44, 1 Np 2.71

=====

Computed, not measured: a relaxed structure of NpP4 at the PBE-GGA level of DFT.

Summary:
E_form: 1007 meV/atom
Space-group type: Pm-3m
Offset from the most stable computed form: 1.161 eV/atom
Total energy: -5.909 eV per atom

Cell lengths 4.9834, 4.9834, 4.9834 Å; angles 90.00, 90.00, 90.00 degrees
Last column: nearest neighbours and their distance in Å.
Element x y z (fractional)
Np 0.0000 0.0000 0.0000  6 P 2.49
P 0.0000 0.0000 0.5000  2 Np 2.49
P 0.0000 0.5000 0.0000  2 Np 2.49
P 0.5000 0.0000 0.0000  2 Np 2.49
P 0.5000 0.5000 0.5000  12 P 3.52

=====

The highest E_form belongs to which entry? ZrNpOs

=====

Among the records above, which one has the lowest total energy? Np3P